First-principles (PBE) data for crystalline LaPmC2O8 at its relaxed geometry, as listed in Alexandria.

Formation energy without anion corrections = -1.952 eV/atom
VASP energy = -91.21 eV for the cell shown

Geometry as POSCAR:
```
LaPmC2O8
1.0
4.856 0.000 0.000
2.428 4.202 0.008
2.428 1.413 6.520
Pm O La C
1 8 1 2
direct
0.000 0.000 0.000
0.670 0.670 0.989
0.330 0.330 0.011
0.081 0.078 0.296
0.545 0.078 0.296
0.455 0.922 0.704
0.081 0.542 0.297
0.919 0.458 0.703
0.919 0.922 0.704
0.500 0.500 0.500
0.258 0.256 0.227
0.742 0.744 0.773
```



First-principles (PBE) data for crystalline Tb2LuZr at its relaxed geometry, as listed in Alexandria.

Energy relative to the lowest polymorph listed for this composition = 0.0 meV/atom
Formation energy from the elements = 0.087 eV/atom
VASP energy = -21.98 eV for the cell shown

Geometry as POSCAR:
```
Tb2LuZr
1.0
4.828 0.000 0.000
0.000 4.852 0.000
0.000 0.000 4.852
Lu Tb Zr
1 2 1
direct
0.500 0.000 0.000
0.000 0.000 0.500
0.000 0.500 0.000
0.500 0.500 0.500
```



First-principles (PBE) data for crystalline TbEr2Cd3 at its relaxed geometry, as listed in Alexandria.

Formation energy from the elements = -0.317 eV/atom
VASP energy = -18.40 eV for the cell shown

Geometry as POSCAR:
```
TbEr2Cd3
1.0
3.728 0.000 0.000
0.000 3.728 0.000
0.000 0.000 11.186
Cd Er Tb
3 2 1
direct
0.000 0.000 0.329
0.000 0.000 0.000
0.000 0.000 0.671
0.500 0.500 0.165
0.500 0.500 0.835
0.500 0.500 0.500
```



First-principles (PBE) data for crystalline Pr3Se2N at its relaxed geometry, as listed in Alexandria.

Energy relative to the lowest polymorph listed for this composition = 0.0 meV/atom
Formation energy without anion corrections = -1.603 eV/atom
VASP energy = -39.25 eV for the cell shown

Geometry as POSCAR:
```
Pr3Se2N
1.0
3.891 0.000 0.000
0.000 5.804 0.000
-1.945 -2.902 6.404
Pr Se N
3 2 1
direct
0.000 0.000 0.000
0.633 0.633 0.267
0.367 0.367 0.733
0.677 0.177 0.354
0.323 0.823 0.646
0.000 0.500 0.000
```



First-principles (PBE) data for crystalline Tl2AsCl6 at its relaxed geometry, as listed in Alexandria.

Energy relative to the lowest polymorph listed for this composition = 41.9 meV/atom
Formation energy without anion corrections = -0.725 eV/atom
VASP energy = -53.97 eV for the cell shown

Geometry as POSCAR:
```
Tl2AsCl6
1.0
-0.625 4.229 -5.321
1.092 -5.211 -4.270
-12.764 -2.364 -0.379
Cl As Tl
12 2 4
direct
0.751 0.751 0.000
0.322 0.322 0.367
0.749 0.251 0.500
0.822 0.178 0.867
0.322 0.322 0.633
0.678 0.678 0.633
0.249 0.249 0.000
0.822 0.178 0.133
0.178 0.822 0.867
0.251 0.749 0.500
0.678 0.678 0.367
0.178 0.822 0.133
0.500 0.500 0.500
0.000 0.000 0.000
0.500 0.500 0.162
0.000 0.000 0.338
0.500 0.500 0.838
0.000 0.000 0.662
```



First-principles (PBE) data for crystalline Cr2Ag2Pb at its relaxed geometry, as listed in Alexandria.

Energy relative to the lowest polymorph listed for this composition = 0.0 meV/atom
Formation energy from the elements = 0.590 eV/atom
VASP energy = -25.71 eV for the cell shown

Geometry as POSCAR:
```
Cr2Ag2Pb
1.0
3.184 0.000 0.000
0.000 3.184 0.000
1.592 1.592 9.281
Ag Pb Cr
2 1 2
direct
0.625 0.625 0.750
0.375 0.375 0.250
0.000 0.000 0.000
0.250 0.750 0.500
0.750 0.250 0.500
```



First-principles (PBE) data for crystalline BaSr2SnO5 at its relaxed geometry, as listed in Alexandria.

Formation energy without anion corrections = -2.428 eV/atom
VASP energy = -55.93 eV for the cell shown

Geometry as POSCAR:
```
BaSr2SnO5
1.0
4.092 0.000 0.000
0.000 6.125 0.000
-2.046 -3.062 5.990
O Sr Ba Sn
5 2 1 1
direct
0.629 0.367 0.258
0.000 0.000 0.000
0.629 0.892 0.258
0.371 0.108 0.742
0.371 0.633 0.742
0.785 0.785 0.569
0.215 0.215 0.431
0.000 0.500 0.000
0.500 0.000 0.000
```



First-principles (PBE) data for crystalline TaCdPt at its relaxed geometry, as listed in Alexandria.

Formation energy from the elements = -0.303 eV/atom
VASP energy = -78.87 eV for the cell shown

Geometry as POSCAR:
```
TaCdPt
1.0
7.615 0.000 -0.003
0.000 2.885 0.000
-3.480 0.000 9.955
Pt Cd Ta
4 4 4
direct
0.768 0.000 0.548
0.768 0.500 0.048
0.232 0.500 0.952
0.232 0.000 0.452
0.121 0.000 0.161
0.879 0.000 0.839
0.121 0.500 0.661
0.879 0.500 0.339
0.516 0.500 0.638
0.516 0.000 0.138
0.484 0.500 0.362
0.484 0.000 0.862
```



First-principles (PBE) data for crystalline Sm6PdS5 at its relaxed geometry, as listed in Alexandria.

Formation energy without anion corrections = -1.815 eV/atom
VASP energy = -75.93 eV for the cell shown

Geometry as POSCAR:
```
Sm6PdS5
1.0
6.869 -0.102 -1.297
-3.707 5.784 -1.297
0.133 0.239 6.988
S Sm Pd
5 6 1
direct
0.666 0.334 0.000
0.500 0.500 0.500
0.833 0.167 0.500
0.167 0.833 0.500
0.334 0.666 0.000
0.917 0.577 0.748
0.255 0.255 0.745
0.577 0.917 0.748
0.745 0.745 0.255
0.423 0.083 0.252
0.083 0.423 0.252
0.000 0.000 0.000
```



First-principles (PBE) data for crystalline Tb2SmRh2 at its relaxed geometry, as listed in Alexandria.

Energy relative to the lowest polymorph listed for this composition = 13.8 meV/atom
Formation energy from the elements = -0.577 eV/atom
VASP energy = -63.13 eV for the cell shown

Geometry as POSCAR:
```
Tb2SmRh2
1.0
-2.522 1.840 2.323
-2.954 -6.564 1.993
6.815 -1.460 5.295
Rh Tb Sm
4 4 2
direct
0.804 0.635 0.608
0.552 0.546 0.103
0.196 0.135 0.392
0.448 0.046 0.897
0.187 0.525 0.374
0.813 0.025 0.626
0.031 0.246 0.063
0.969 0.746 0.937
0.624 0.913 0.249
0.376 0.413 0.751
```



First-principles (PBE) data for crystalline MgAlRh2Cl at its relaxed geometry, as listed in Alexandria.

Formation energy without anion corrections = 0.438 eV/atom
VASP energy = -19.70 eV for the cell shown

Geometry as POSCAR:
```
MgAlRh2Cl
1.0
-2.865 0.388 3.450
1.238 -4.169 1.497
3.253 1.861 2.493
Mg Al Rh Cl
1 1 2 1
direct
0.500 0.500 0.500
0.000 0.500 0.000
0.500 0.000 0.000
0.000 0.000 0.500
0.000 0.000 0.000
```



First-principles (PBE) data for crystalline Cr4Cl5 at its relaxed geometry, as listed in Alexandria.

Formation energy without anion corrections = 0.647 eV/atom
VASP energy = -41.90 eV for the cell shown

Geometry as POSCAR:
```
Cr4Cl5
1.0
7.223 -0.680 -0.036
-6.795 -1.499 2.051
-0.697 -3.769 -6.159
Cl Cr
5 4
direct
0.665 0.335 0.000
0.000 0.000 0.000
0.335 0.665 0.000
0.335 0.335 0.671
0.665 0.665 0.329
0.368 0.000 0.368
0.000 0.632 0.632
0.000 0.368 0.368
0.632 0.000 0.632
```



Q: What is the VASP energy in the eleventh record?
A: -19.70 eV for the cell shown



Q: The lowest VASP energy belongs to which entry?
A: LaPmC2O8



Q: Which value of VASP energy does entry 9 give?
A: -75.93 eV for the cell shown



Please write out number 3 again, unchanged.
First-principles (PBE) data for crystalline TbEr2Cd3 at its relaxed geometry, as listed in Alexandria.

Formation energy from the elements = -0.317 eV/atom
VASP energy = -18.40 eV for the cell shown

Geometry as POSCAR:
```
TbEr2Cd3
1.0
3.728 0.000 0.000
0.000 3.728 0.000
0.000 0.000 11.186
Cd Er Tb
3 2 1
direct
0.000 0.000 0.329
0.000 0.000 0.000
0.000 0.000 0.671
0.500 0.500 0.165
0.500 0.500 0.835
0.500 0.500 0.500
```